(1)
Below is a relaxed CePrSbAs crystal, with properties calculated at the PBE-GGA level.

a b c (Å): 7.6566 7.6566 7.6566
angles (deg): 33.22 33.22 33.22
Last column: nearest neighbours and their distance in Å.
Sites, in units of the cell vectors:
Ce (0.0000, 0.0000, 0.0000)  3 As 3.01, 3 Sb 3.15
Pr (0.4889, 0.4889, 0.4889)  3 As 3.07, 3 Sb 3.21
Sb (0.2466, 0.2466, 0.2466)  3 Ce 3.15, 3 Pr 3.21
As (0.7420, 0.7420, 0.7420)  3 Ce 3.01, 3 Pr 3.07

Results
Density = 6.61 g/cm³
Volume = 29.99 Å³ per atom
SG = R3m (160)
E_tot = -6.153 eV/atom

=====

(2)
Below is a relaxed Ce2Pr3ScAs6 crystal, with properties calculated at the PBE-GGA level.

a b c (Å): 9.4094 9.4094 8.4218
angles (deg): 103.13 103.13 25.88
Last column: nearest neighbours and their distance in Å.
Sites, in units of the cell vectors:
Ce (0.1643, 0.1643, 0.3297)  6 As 2.91-2.97
Ce (0.8357, 0.8357, 0.6703)  6 As 2.91-2.97
Pr (0.1671, 0.1671, 0.8351)  6 As 3.00-3.09
Pr (0.5000, 0.5000, 0.5000)  6 As 3.02-3.08
Pr (0.8329, 0.8329, 0.1649)  6 As 3.00-3.09
Sc (0.5000, 0.5000, 0.0000)  6 As 2.85-2.88
As (0.0010, 0.0010, 0.2334)  2 Sc 2.88, 1 Ce 2.91, 3 Pr 3.00-3.08
As (0.3309, 0.3309, 0.4217)  3 Ce 2.96-2.97, 3 Pr 3.02-3.03
As (0.3401, 0.3401, 0.9146)  1 Sc 2.85, 2 Ce 2.93, 3 Pr 3.00-3.09
As (0.6599, 0.6599, 0.0854)  1 Sc 2.85, 2 Ce 2.93, 3 Pr 3.00-3.09
As (0.6691, 0.6691, 0.5783)  3 Ce 2.96-2.97, 3 Pr 3.02-3.03
As (0.9990, 0.9990, 0.7666)  2 Sc 2.88, 1 Ce 2.91, 3 Pr 3.00-3.08

Results
Density = 6.28 g/cm³
Volume = 26.38 Å³ per atom
SG = C2/m (12)
E_tot = -6.470 eV/atom